[1]
DFT (GGA-PBE) results for a relaxed structure of SmHo2Th.

Calculated values
symmetry = P4/mmm, No. 123
VASP energy = -21.2 eV for the cell shown
distance to the lowest polymorph of the same formula = 8.5 meV per atom

Unit cell a=3.5692 b=3.5692 c=10.0687 alpha=90.00 beta=90.00 gamma=90.00
Element x y z (fractional)
Ho  0.0000  0.0000  0.2427
Ho  0.0000  0.0000  0.7573
Sm  0.5000  0.5000  0.5000
Th  0.5000  0.5000  0.0000

[2]
DFT (GGA-PBE) results for a relaxed structure of Sm12Ho3Th.

Calculated values
symmetry = P4/mmm, No. 123
VASP energy = -77.4 eV for the cell shown

Unit cell a=5.1014 b=5.1014 c=20.3832 alpha=90.00 beta=90.00 gamma=90.00
Element x y z (fractional)
Sm  0.5000  0.5000  0.2521
Sm  0.0000  0.5000  0.8762
Sm  0.5000  0.5000  0.0000
Sm  0.0000  0.5000  0.6251
Sm  0.0000  0.5000  0.3749
Sm  0.5000  0.0000  0.6251
Ho  0.0000  0.0000  0.7497
Ho  0.0000  0.0000  0.5000
Sm  0.5000  0.0000  0.8762
Ho  0.0000  0.0000  0.2503
Th  0.0000  0.0000  0.0000
Sm  0.5000  0.5000  0.5000
Sm  0.5000  0.0000  0.1238
Sm  0.0000  0.5000  0.1238
Sm  0.5000  0.5000  0.7479
Sm  0.5000  0.0000  0.3749

[3]
DFT (GGA-PBE) results for a relaxed structure of Sm10Ho6Th.

Calculated values
symmetry = P-31m, No. 162
VASP energy = -79.5 eV for the cell shown

Unit cell a=6.9133 b=9.7341 c=9.7341 alpha=120.00 beta=90.00 gamma=90.00
Element x y z (fractional)
Ho  0.3125  0.3680  0.0000
Ho  0.6875  0.3680  0.3680
Ho  0.3125  0.0000  0.3680
Sm  0.8207  0.2773  0.0000
Sm  0.8207  0.7227  0.7227
Ho  0.6875  0.0000  0.6320
Sm  0.1793  0.0000  0.7227
Sm  0.8207  0.0000  0.2773
Sm  0.0000  0.6667  0.3333
Ho  0.6875  0.6320  0.0000
Th  0.5000  0.0000  0.0000
Sm  0.1793  0.2773  0.2773
Sm  0.5000  0.6667  0.3333
Sm  0.1793  0.7227  0.0000
Sm  0.5000  0.3333  0.6667
Ho  0.3125  0.6320  0.6320
Sm  0.0000  0.3333  0.6667

[4]
DFT (GGA-PBE) results for a relaxed structure of SmHo12Th5.

Calculated values
symmetry = C2/m, No. 12
VASP energy = -96.0 eV for the cell shown

Unit cell a=10.5999 b=10.6487 c=6.1531 alpha=106.81 beta=90.00 gamma=60.15
Element x y z (fractional)
Ho  0.8321  0.6670  0.4994
Th  0.8321  0.3358  0.5068
Ho  0.9978  0.3356  0.9991
Ho  0.6630  0.9999  0.9999
Th  0.1679  0.6642  0.4932
Ho  0.1663  0.0001  0.5002
Ho  0.4989  0.3331  0.5005
Ho  0.8337  0.9999  0.4998
Th  0.3333  0.3331  0.0011
Ho  0.6663  0.3357  0.9989
Ho  0.3337  0.6643  0.0011
Sm  0.0000  0.0000  0.0000
Ho  0.0022  0.6644  0.0009
Th  0.6667  0.6669  0.9989
Ho  0.1679  0.3330  0.5006
Ho  0.3370  0.0001  0.0001
Ho  0.5011  0.6669  0.4995
Th  0.5000  0.0000  0.5000

[5]
DFT (GGA-PBE) results for a relaxed structure of Sm2Ho8Th.

Calculated values
symmetry = C2/m, No. 12
VASP energy = -53.2 eV for the cell shown
distance to the lowest polymorph of the same formula = 0.0 meV per atom

Unit cell a=5.0290 b=7.9344 c=9.3914 alpha=104.64 beta=105.53 gamma=90.00
Element x y z (fractional)
Ho  0.6799  0.9072  0.3599
Ho  0.3201  0.0928  0.6401
Th  0.5000  0.0000  0.0000
Ho  0.0443  0.7317  0.0885
Ho  0.8652  0.8221  0.7305
Sm  0.2280  0.6361  0.4560
Ho  0.4103  0.5482  0.8206
Ho  0.5897  0.4518  0.1794
Ho  0.9557  0.2683  0.9115
Ho  0.1348  0.1779  0.2695
Sm  0.7720  0.3639  0.5440

[6]
DFT (GGA-PBE) results for a relaxed structure of Sm2Ho5Th.

Calculated values
symmetry = Pbam, No. 55
VASP energy = -79.1 eV for the cell shown

Unit cell a=5.0469 b=7.1042 c=14.2383 alpha=90.00 beta=90.00 gamma=90.00
Element x y z (fractional)
Ho  0.0000  0.0043  0.7488
Th  0.0000  0.0000  0.5000
Ho  0.0000  0.0000  0.0000
Th  0.0000  0.5000  0.0000
Sm  0.5000  0.2477  0.6235
Ho  0.0000  0.5000  0.5000
Ho  0.5000  0.2580  0.8772
Ho  0.5000  0.7420  0.1228
Ho  0.5000  0.7580  0.6228
Ho  0.5000  0.2420  0.3772
Sm  0.5000  0.2523  0.1235
Sm  0.5000  0.7477  0.8765
Sm  0.5000  0.7523  0.3765
Ho  0.0000  0.5043  0.7512
Ho  0.0000  0.4957  0.2488
Ho  0.0000  0.9957  0.2512

[7]
DFT (GGA-PBE) results for a relaxed structure of Sm2Ho2Th3.

Calculated values
symmetry = Cmmm, No. 65
VASP energy = -40.3 eV for the cell shown
distance to the lowest polymorph of the same formula = 0.0 meV per atom

Unit cell a=3.5372 b=3.5425 c=18.4351 alpha=90.00 beta=95.51 gamma=90.00
Element x y z (fractional)
Ho  0.1380  0.0000  0.2761
Ho  0.8620  0.0000  0.7239
Th  0.4310  0.5000  0.8620
Sm  0.7081  0.5000  0.4162
Th  0.0000  0.0000  0.0000
Sm  0.2919  0.5000  0.5838
Th  0.5690  0.5000  0.1380

[8]
DFT (GGA-PBE) results for a relaxed structure of SmHo6Th.

Calculated values
symmetry = P4/mmm, No. 123
VASP energy = -39.4 eV for the cell shown
distance to the lowest polymorph of the same formula = 0.0 meV per atom

Unit cell a=5.0147 b=5.0147 c=9.9982 alpha=90.00 beta=90.00 gamma=90.00
Element x y z (fractional)
Ho  0.5000  0.0000  0.2532
Ho  0.5000  0.5000  0.5000
Ho  0.5000  0.5000  0.0000
Ho  0.5000  0.0000  0.7468
Ho  0.0000  0.5000  0.2532
Th  0.0000  0.0000  0.5000
Ho  0.0000  0.5000  0.7468
Sm  0.0000  0.0000  0.0000

[9]
DFT (GGA-PBE) results for a relaxed structure of Sm6Ho12Th.

Calculated values
symmetry = R-3, No. 148
VASP energy = -87.8 eV for the cell shown
distance to the lowest polymorph of the same formula = 0.0 meV per atom

Unit cell a=8.5392 b=8.5392 c=8.5392 alpha=88.94 beta=88.94 gamma=88.94
Element x y z (fractional)
Sm  0.7448  0.9123  0.3124
Sm  0.9123  0.3124  0.7448
Sm  0.6876  0.2552  0.0877
Ho  0.9896  0.7883  0.6527
Sm  0.2552  0.0877  0.6876
Sm  0.0877  0.6876  0.2552
Ho  0.7733  0.5415  0.4404
Ho  0.2117  0.3473  0.0104
Ho  0.3473  0.0104  0.2117
Ho  0.6527  0.9896  0.7883
Ho  0.4585  0.5596  0.2267
Ho  0.2267  0.4585  0.5596
Ho  0.5415  0.4404  0.7733
Th  0.0000  0.0000  0.0000
Ho  0.0104  0.2117  0.3473
Sm  0.3124  0.7448  0.9123
Ho  0.5596  0.2267  0.4585
Ho  0.4404  0.7733  0.5415
Ho  0.7883  0.6527  0.9896

[10]
DFT (GGA-PBE) results for a relaxed structure of Sm2Ho2Th.

Calculated values
symmetry = P2/m, No. 10
VASP energy = -25.7 eV for the cell shown
distance to the lowest polymorph of the same formula = 40.7 meV per atom

Unit cell a=3.5224 b=5.3818 c=8.9126 alpha=107.64 beta=90.00 gamma=90.00
Element x y z (fractional)
Th  0.0000  0.0000  0.0000
Sm  0.0000  0.8018  0.6037
Sm  0.0000  0.1982  0.3963
Ho  0.5000  0.6037  0.2071
Ho  0.5000  0.3963  0.7929

Number 1: formation enthalpy at 0 K 0.020 eV per atom. Number 2: formation enthalpy at 0 K 0.026 eV per atom. Number 3: formation enthalpy at 0 K 0.149 eV per atom. Number 4: formation enthalpy at 0 K 0.042 eV per atom. Number 5: formation enthalpy at 0 K 0.027 eV per atom. Number 6: formation enthalpy at 0 K 0.027 eV per atom. Number 7: formation enthalpy at 0 K 0.079 eV per atom. Number 8: formation enthalpy at 0 K 0.028 eV per atom. Number 9: formation enthalpy at 0 K 0.149 eV per atom. Number 10: formation enthalpy at 0 K 0.054 eV per atom.